The following is a PBE-GGA calculation of LiSbAu after structural relaxation, from the Alexandria database.

Lattice parameters (Å, degrees): 4.523 4.523 4.523 60.00 60.00 60.00
Positions (direct):
Au: 0.750 0.750 0.750
Li: 0.000 0.000 0.000
Sb: 0.500 0.500 0.500

Properties
Final energy: -3.568 eV per atom
Uncorrected formation energy: -463 meV/atom
Symmetry: F-43m, No. 216

=====

The following is a PBE-GGA calculation of LiSbAu after structural relaxation, from the Alexandria database.

Lattice parameters (Å, degrees): 6.030 6.031 3.249 74.36 74.39 31.25
Positions (direct):
Au: 0.974 0.974 0.026
Li: 0.352 0.352 0.648
Sb: 0.673 0.673 0.327

Properties
Final energy: -3.353 eV per atom
Uncorrected formation energy: -248 meV/atom
Symmetry: I4mm, No. 107

=====

Question: Among the records above, which one has the lowest final energy?
Answer: number 1

=====

Repeat the second record exactly.
The following is a PBE-GGA calculation of LiSbAu after structural relaxation, from the Alexandria database.

Lattice parameters (Å, degrees): 6.030 6.031 3.249 74.36 74.39 31.25
Positions (direct):
Au: 0.974 0.974 0.026
Li: 0.352 0.352 0.648
Sb: 0.673 0.673 0.327

Properties
Final energy: -3.353 eV per atom
Uncorrected formation energy: -248 meV/atom
Symmetry: I4mm, No. 107